[1]
A relaxed ScTaMoOs crystal. Source: the Alexandria database, functional PBE-GGA.

Summary:
ΔH_f (0 K) = -0.23 eV/atom
crystal system = cubic

Cell lengths 4.556, 4.556, 4.556 Å; angles 60.00, 60.00, 60.00 degrees
Positions (direct):
Ta1 0.000 0.000 0.000
Os1 0.750 0.750 0.750
Sc1 0.500 0.500 0.500
Mo1 0.250 0.250 0.250

---

[2]
A relaxed ScTcMoOs crystal. Source: the Alexandria database, functional PBE-GGA.

Summary:
ΔH_f (0 K) = -0.23 eV/atom
crystal system = cubic

Cell lengths 4.465, 4.465, 4.465 Å; angles 60.00, 60.00, 60.00 degrees
Positions (direct):
Sc1 0.500 0.500 0.500
Os1 0.750 0.750 0.750
Tc1 0.250 0.250 0.250
Mo1 0.000 0.000 0.000

---

Look up the ΔH_f (0 K) of the first one. -0.23 eV/atom

---

ΔH_f (0 K) of number 1 (ScTaMoOs)? -0.23 eV/atom